*1*
# CePaS2 PBE-GGA optimized geometry
data_CePaS2
_cell_length_a 4.873
_cell_length_b 4.873
_cell_length_c 4.873
_cell_angle_alpha 60.00
_cell_angle_beta 60.00
_cell_angle_gamma 60.00
_symmetry_space_group_name_H-M 'P 1'
_symmetry_Int_Tables_number 1
loop_
_symmetry_equiv_pos_as_xyz
'x,y,z'
loop_
_atom_site_label
_atom_site_fract_x
_atom_site_fract_y
_atom_site_fract_z
_atom_site_occupancy
Ce1 0.000 0.000 0.000 1
Pa1 0.500 0.500 0.500 1
S1 0.250 0.250 0.250 1
S2 0.750 0.750 0.750 1
# V = 81.83 Å³ per cell

***

*2*
# CePaS2 PBE-GGA optimized geometry
data_CePaS2
_cell_length_a 7.502
_cell_length_b 7.502
_cell_length_c 7.502
_cell_angle_alpha 29.23
_cell_angle_beta 29.23
_cell_angle_gamma 29.23
_symmetry_space_group_name_H-M 'P 1'
_symmetry_Int_Tables_number 1
loop_
_symmetry_equiv_pos_as_xyz
'x,y,z'
loop_
_atom_site_label
_atom_site_fract_x
_atom_site_fract_y
_atom_site_fract_z
_atom_site_occupancy
Ce1 0.000 0.000 0.000 1
Pa1 0.175 0.175 0.175 1
S1 0.422 0.422 0.422 1
S2 0.587 0.587 0.587 1
# V = 89.07 Å³ per cell

***

Quick one: most stable of them? *2*

***

*1*
# Ce2PaS6 PBE-GGA optimized geometry
data_Ce2PaS6
_cell_length_a 6.345
_cell_length_b 6.345
_cell_length_c 12.668
_cell_angle_alpha 90.00
_cell_angle_beta 90.00
_cell_angle_gamma 90.00
_symmetry_space_group_name_H-M 'P 1'
_symmetry_Int_Tables_number 1
loop_
_symmetry_equiv_pos_as_xyz
'x,y,z'
loop_
_atom_site_label
_atom_site_fract_x
_atom_site_fract_y
_atom_site_fract_z
_atom_site_occupancy
Ce1 0.000 0.000 0.166 1
Ce2 0.000 0.000 0.834 1
Ce3 0.500 0.500 0.334 1
Ce4 0.500 0.500 0.666 1
Pa1 0.000 0.000 0.500 1
Pa2 0.500 0.500 0.000 1
S1 0.188 0.188 0.340 1
S2 0.188 0.188 0.660 1
S3 0.202 0.202 0.000 1
S4 0.298 0.702 0.500 1
S5 0.312 0.688 0.160 1
S6 0.312 0.688 0.840 1
S7 0.688 0.312 0.160 1
S8 0.688 0.312 0.840 1
S9 0.702 0.298 0.500 1
S10 0.798 0.798 0.000 1
S11 0.812 0.812 0.340 1
S12 0.812 0.812 0.660 1
# V = 509.95 Å³ per cell

***

*2*
# Ce2PaS6 PBE-GGA optimized geometry
data_Ce2PaS6
_cell_length_a 7.990
_cell_length_b 7.990
_cell_length_c 7.990
_cell_angle_alpha 146.08
_cell_angle_beta 131.40
_cell_angle_gamma 60.59
_symmetry_space_group_name_H-M 'P 1'
_symmetry_Int_Tables_number 1
loop_
_symmetry_equiv_pos_as_xyz
'x,y,z'
loop_
_atom_site_label
_atom_site_fract_x
_atom_site_fract_y
_atom_site_fract_z
_atom_site_occupancy
Ce1 0.167 0.167 0.000 1
Ce2 0.833 0.833 0.000 1
Pa1 0.500 0.500 0.000 1
S1 0.093 0.339 0.754 1
S2 0.262 0.000 0.262 1
S3 0.415 0.661 0.754 1
S4 0.585 0.339 0.246 1
S5 0.738 0.000 0.738 1
S6 0.907 0.661 0.246 1
# V = 211.51 Å³ per cell

***

Quick one: most stable of them? *2*

***

*1*
# Ce2Pa2S7 PBE-GGA optimized geometry
data_Ce2Pa2S7
_cell_length_a 8.543
_cell_length_b 8.543
_cell_length_c 8.543
_cell_angle_alpha 153.46
_cell_angle_beta 67.36
_cell_angle_gamma 119.36
_symmetry_space_group_name_H-M 'P 1'
_symmetry_Int_Tables_number 1
loop_
_symmetry_equiv_pos_as_xyz
'x,y,z'
loop_
_atom_site_label
_atom_site_fract_x
_atom_site_fract_y
_atom_site_fract_z
_atom_site_occupancy
Ce1 0.000 0.000 0.000 1
Ce2 0.548 0.048 0.500 1
Pa1 0.483 0.241 0.242 1
Pa2 0.999 0.241 0.758 1
S1 0.200 0.556 0.644 1
S2 0.253 0.938 0.315 1
S3 0.318 0.318 0.000 1
S4 0.607 0.721 0.885 1
S5 0.624 0.938 0.685 1
S6 0.836 0.721 0.115 1
S7 0.911 0.556 0.356 1
# V = 240.47 Å³ per cell

***

*2*
# Ce2Pa2S7 PBE-GGA optimized geometry
data_Ce2Pa2S7
_cell_length_a 4.623
_cell_length_b 4.623
_cell_length_c 13.172
_cell_angle_alpha 90.00
_cell_angle_beta 90.00
_cell_angle_gamma 90.00
_symmetry_space_group_name_H-M 'P 1'
_symmetry_Int_Tables_number 1
loop_
_symmetry_equiv_pos_as_xyz
'x,y,z'
loop_
_atom_site_label
_atom_site_fract_x
_atom_site_fract_y
_atom_site_fract_z
_atom_site_occupancy
Ce1 0.000 0.500 0.135 1
Ce2 0.500 0.000 0.865 1
Pa1 0.000 0.500 0.624 1
Pa2 0.500 0.000 0.376 1
S1 0.000 0.000 0.248 1
S2 0.000 0.000 0.500 1
S3 0.000 0.000 0.752 1
S4 0.500 0.500 0.000 1
S5 0.500 0.500 0.261 1
S6 0.500 0.500 0.500 1
S7 0.500 0.500 0.739 1
# V = 281.51 Å³ per cell

***

Quick one: most stable of them? *1*